(P)
# GGA-PBE Rb2Na2HgAs2, optimized geometry
data_Rb2Na2HgAs2
_cell_length_a 5.7064
_cell_length_b 5.7064
_cell_length_c 26.1582
_cell_angle_alpha 90.00
_cell_angle_beta 90.00
_cell_angle_gamma 120.00
_space_group_name_H-M_alt 'R -3 m'
_space_group_IT_number 166
_space_group_name_Hall '-R 3 2"'
loop_
_atom_site_label
_atom_site_type_symbol
_atom_site_fract_x
_atom_site_fract_y
_atom_site_fract_z
Rb1 Rb 0.0000 0.0000 0.1049
Na1 Na 0.0000 0.0000 0.2920
Hg1 Hg 0.0000 0.0000 0.5000
As1 As 0.0000 0.0000 0.4030
# Crystal system: trigonal

=====

(Q)
# GGA-PBE Rb2Na2HgAs2, optimized geometry
data_Rb2Na2HgAs2
_cell_length_a 5.3853
_cell_length_b 5.3853
_cell_length_c 29.7444
_cell_angle_alpha 90.00
_cell_angle_beta 90.00
_cell_angle_gamma 120.00
_space_group_name_H-M_alt 'R -3 m'
_space_group_IT_number 166
_space_group_name_Hall '-R 3 2"'
loop_
_atom_site_label
_atom_site_type_symbol
_atom_site_fract_x
_atom_site_fract_y
_atom_site_fract_z
Rb1 Rb 0.0000 0.0000 0.2044
Na1 Na 0.0000 0.0000 0.3918
Hg1 Hg 0.0000 0.0000 0.0000
As1 As 0.0000 0.0000 0.0845
# Crystal system: trigonal

=====

Taking the most stable structure as the zero point, the relative energies in meV per atom are (P) 20; (Q) 0.

=====

(P)
# GGA-PBE NbHgAs, optimized geometry
data_NbHgAs
_cell_length_a 6.4899
_cell_length_b 6.4899
_cell_length_c 6.4899
_cell_angle_alpha 90.00
_cell_angle_beta 90.00
_cell_angle_gamma 90.00
_space_group_name_H-M_alt 'F -4 3 m'
_space_group_IT_number 216
_space_group_name_Hall 'F -4 2 3'
loop_
_atom_site_label
_atom_site_type_symbol
_atom_site_fract_x
_atom_site_fract_y
_atom_site_fract_z
Nb1 Nb 0.0000 0.0000 0.0000
Hg1 Hg 0.2500 0.2500 0.2500
As1 As 0.2500 0.2500 0.7500
# Total moment: 1.8 μB per formula unit
# Crystal system: cubic

=====

(Q)
# GGA-PBE NbHgAs, optimized geometry
data_NbHgAs
_cell_length_a 6.3310
_cell_length_b 6.3310
_cell_length_c 6.3310
_cell_angle_alpha 90.00
_cell_angle_beta 90.00
_cell_angle_gamma 90.00
_space_group_name_H-M_alt 'F -4 3 m'
_space_group_IT_number 216
_space_group_name_Hall 'F -4 2 3'
loop_
_atom_site_label
_atom_site_type_symbol
_atom_site_fract_x
_atom_site_fract_y
_atom_site_fract_z
Nb1 Nb 0.0000 0.0000 0.0000
Hg1 Hg 0.0000 0.0000 0.5000
As1 As 0.2500 0.2500 0.7500
# Total moment: 0.0 μB per formula unit
# Crystal system: cubic

=====

Taking the most stable structure as the zero point, the relative energies in meV per atom are (P) 0; (Q) 81.

=====

(P)
# GGA-PBE NbNiHgAs, optimized geometry
data_NbNiHgAs
_cell_length_a 6.4395
_cell_length_b 6.4395
_cell_length_c 6.4395
_cell_angle_alpha 90.00
_cell_angle_beta 90.00
_cell_angle_gamma 90.00
_space_group_name_H-M_alt 'F -4 3 m'
_space_group_IT_number 216
_space_group_name_Hall 'F -4 2 3'
loop_
_atom_site_label
_atom_site_type_symbol
_atom_site_fract_x
_atom_site_fract_y
_atom_site_fract_z
Nb1 Nb 0.0000 0.0000 0.0000
Ni1 Ni 0.0000 0.0000 0.5000
Hg1 Hg 0.2500 0.2500 0.7500
As1 As 0.2500 0.2500 0.2500
# Total moment: 0.0 μB per formula unit
# Crystal system: cubic

=====

(Q)
# GGA-PBE NbNiHgAs, optimized geometry
data_NbNiHgAs
_cell_length_a 6.5815
_cell_length_b 6.5815
_cell_length_c 6.5815
_cell_angle_alpha 90.00
_cell_angle_beta 90.00
_cell_angle_gamma 90.00
_space_group_name_H-M_alt 'F -4 3 m'
_space_group_IT_number 216
_space_group_name_Hall 'F -4 2 3'
loop_
_atom_site_label
_atom_site_type_symbol
_atom_site_fract_x
_atom_site_fract_y
_atom_site_fract_z
Nb1 Nb 0.0000 0.0000 0.0000
Ni1 Ni 0.2500 0.2500 0.7500
Hg1 Hg 0.2500 0.2500 0.2500
As1 As 0.0000 0.0000 0.5000
# Total moment: 1.1 μB per formula unit
# Crystal system: cubic

=====

Taking the most stable structure as the zero point, the relative energies in meV per atom are (P) 0; (Q) 313.

=====

(P)
# GGA-PBE NbHgAsO, optimized geometry
data_NbHgAsO
_cell_length_a 3.6329
_cell_length_b 3.6329
_cell_length_c 11.1120
_cell_angle_alpha 90.00
_cell_angle_beta 90.00
_cell_angle_gamma 90.00
_space_group_name_H-M_alt 'P 4/n m m'
_space_group_IT_number 129
loop_
_space_group_symop_operation_xyz
'x,y,z'
'-x,-y,-z'
'-y+1/2,x,z'
'y+1/2,-x,-z'
'-x+1/2,-y+1/2,z'
'x+1/2,y+1/2,-z'
'y,-x+1/2,z'
'-y,x+1/2,-z'
'x+1/2,-y,-z'
'-x+1/2,y,z'
'-y,-x,-z'
'y,x,z'
'-x,y+1/2,-z'
'x,-y+1/2,z'
'y+1/2,x+1/2,-z'
'-y+1/2,-x+1/2,z'
loop_
_atom_site_label
_atom_site_type_symbol
_atom_site_fract_x
_atom_site_fract_y
_atom_site_fract_z
Nb1 Nb 0.2500 0.2500 0.1107
Hg1 Hg 0.2500 0.7500 0.5000
As1 As 0.2500 0.2500 0.7706
O1 O 0.2500 0.7500 0.0000
# Total moment: 0.2 μB per formula unit
# Crystal system: tetragonal

=====

(Q)
# GGA-PBE NbHgAsO, optimized geometry
data_NbHgAsO
_cell_length_a 3.5582
_cell_length_b 6.9975
_cell_length_c 7.2603
_cell_angle_alpha 90.00
_cell_angle_beta 90.00
_cell_angle_gamma 90.00
_space_group_name_H-M_alt 'P m c 21'
_space_group_IT_number 26
loop_
_space_group_symop_operation_xyz
'x,y,z'
'-x,-y,z+1/2'
'-x,y,z'
'x,-y,z+1/2'
loop_
_atom_site_label
_atom_site_type_symbol
_atom_site_fract_x
_atom_site_fract_y
_atom_site_fract_z
Nb1 Nb 0.0000 0.0937 0.0000
Hg1 Hg 0.5000 0.2761 0.5459
As1 As 0.5000 0.3419 0.9525
O1 O 0.0000 0.0329 0.2614
# Total moment: 0.0 μB per formula unit
# Crystal system: orthorhombic

=====

Taking the most stable structure as the zero point, the relative energies in meV per atom are (P) 153; (Q) 0.

=====

(P)
# GGA-PBE NbHgAsO, optimized geometry
data_NbHgAsO
_cell_length_a 4.2589
_cell_length_b 4.2589
_cell_length_c 8.1056
_cell_angle_alpha 90.00
_cell_angle_beta 90.00
_cell_angle_gamma 90.00
_space_group_name_H-M_alt 'P 4/n m m'
_space_group_IT_number 129
loop_
_space_group_symop_operation_xyz
'x,y,z'
'-x,-y,-z'
'-y+1/2,x,z'
'y+1/2,-x,-z'
'-x+1/2,-y+1/2,z'
'x+1/2,y+1/2,-z'
'y,-x+1/2,z'
'-y,x+1/2,-z'
'x+1/2,-y,-z'
'-x+1/2,y,z'
'-y,-x,-z'
'y,x,z'
'-x,y+1/2,-z'
'x,-y+1/2,z'
'y+1/2,x+1/2,-z'
'-y+1/2,-x+1/2,z'
loop_
_atom_site_label
_atom_site_type_symbol
_atom_site_fract_x
_atom_site_fract_y
_atom_site_fract_z
Nb1 Nb 0.2500 0.7500 0.0000
Hg1 Hg 0.2500 0.2500 0.3844
As1 As 0.2500 0.2500 0.8163
O1 O 0.2500 0.7500 0.5000
# Total moment: 0.0 μB per formula unit
# Crystal system: tetragonal

=====

(Q)
# GGA-PBE NbHgAsO, optimized geometry
data_NbHgAsO
_cell_length_a 4.9823
_cell_length_b 4.9823
_cell_length_c 5.1835
_cell_angle_alpha 90.00
_cell_angle_beta 90.00
_cell_angle_gamma 90.00
_space_group_name_H-M_alt 'P 4/n m m'
_space_group_IT_number 129
loop_
_space_group_symop_operation_xyz
'x,y,z'
'-x,-y,-z'
'-y+1/2,x,z'
'y+1/2,-x,-z'
'-x+1/2,-y+1/2,z'
'x+1/2,y+1/2,-z'
'y,-x+1/2,z'
'-y,x+1/2,-z'
'x+1/2,-y,-z'
'-x+1/2,y,z'
'-y,-x,-z'
'y,x,z'
'-x,y+1/2,-z'
'x,-y+1/2,z'
'y+1/2,x+1/2,-z'
'-y+1/2,-x+1/2,z'
loop_
_atom_site_label
_atom_site_type_symbol
_atom_site_fract_x
_atom_site_fract_y
_atom_site_fract_z
Nb1 Nb 0.2500 0.7500 0.0000
Hg1 Hg 0.2500 0.2500 0.3454
As1 As 0.2500 0.2500 0.8307
O1 O 0.2500 0.7500 0.5000
# Total moment: 0.0 μB per formula unit
# Crystal system: tetragonal

=====

(R)
# GGA-PBE NbHgAsO, optimized geometry
data_NbHgAsO
_cell_length_a 3.5259
_cell_length_b 9.3493
_cell_length_c 5.2210
_cell_angle_alpha 90.00
_cell_angle_beta 90.00
_cell_angle_gamma 90.00
_space_group_name_H-M_alt 'P m c 21'
_space_group_IT_number 26
loop_
_space_group_symop_operation_xyz
'x,y,z'
'-x,-y,z+1/2'
'-x,y,z'
'x,-y,z+1/2'
loop_
_atom_site_label
_atom_site_type_symbol
_atom_site_fract_x
_atom_site_fract_y
_atom_site_fract_z
Nb1 Nb 0.0000 0.1136 0.0000
Hg1 Hg 0.5000 0.4336 0.5348
As1 As 0.0000 0.1582 0.4989
O1 O 0.5000 0.2010 0.0002
# Total moment: 0.0 μB per formula unit
# Crystal system: orthorhombic

=====

Taking the most stable structure as the zero point, the relative energies in meV per atom are (P) 830; (Q) 663; (R) 0.

=====

(P)
# GGA-PBE NdHgAs, optimized geometry
data_NdHgAs
_cell_length_a 7.1160
_cell_length_b 7.1160
_cell_length_c 7.1160
_cell_angle_alpha 90.00
_cell_angle_beta 90.00
_cell_angle_gamma 90.00
_space_group_name_H-M_alt 'F -4 3 m'
_space_group_IT_number 216
_space_group_name_Hall 'F -4 2 3'
loop_
_atom_site_label
_atom_site_type_symbol
_atom_site_fract_x
_atom_site_fract_y
_atom_site_fract_z
Nd1 Nd 0.0000 0.0000 0.0000
Hg1 Hg 0.2500 0.2500 0.2500
As1 As 0.2500 0.2500 0.7500
# Total moment: 0.0 μB per formula unit
# Crystal system: cubic

=====

(Q)
# GGA-PBE NdHgAs, optimized geometry
data_NdHgAs
_cell_length_a 6.9620
_cell_length_b 6.9620
_cell_length_c 6.9620
_cell_angle_alpha 90.00
_cell_angle_beta 90.00
_cell_angle_gamma 90.00
_space_group_name_H-M_alt 'F -4 3 m'
_space_group_IT_number 216
_space_group_name_Hall 'F -4 2 3'
loop_
_atom_site_label
_atom_site_type_symbol
_atom_site_fract_x
_atom_site_fract_y
_atom_site_fract_z
Nd1 Nd 0.0000 0.0000 0.0000
Hg1 Hg 0.0000 0.0000 0.5000
As1 As 0.2500 0.2500 0.7500
# Total moment: 0.0 μB per formula unit
# Crystal system: cubic

=====

Taking the most stable structure as the zero point, the relative energies in meV per atom are (P) 0; (Q) 97.